Here is a relaxed LaTmFe crystal from Alexandria. Energies are from PBE.

Calculated values
The formation energy is 30 meV/atom. For the density, the calculation gives 7.7 g/cm3. The value obtained for the total energy is -17.8 eV per formula unit. For the offset from the most stable computed form, the calculation gives 0 meV per atom.

Unit cell a=7.026 b=7.062 c=7.247 alpha=90.00 beta=90.00 gamma=119.84
Last column: magnetic moment on the atom in μB.
Positions (direct):
Fe: 0.590 0.180 0.541  1.25
Fe: 0.090 0.180 0.959  1.25
La: 0.698 0.397 0.883  -0.09
Fe: 0.910 0.820 0.041  1.25
Tm: 0.212 0.924 0.750  -0.23
La: 0.302 0.603 0.117  -0.09
Tm: 0.788 0.076 0.250  -0.23
La: 0.198 0.397 0.617  -0.09
Fe: 0.410 0.820 0.459  1.25
Tm: 0.288 0.076 0.250  -0.23
Tm: 0.712 0.924 0.750  -0.23
La: 0.802 0.603 0.383  -0.09



Here is a relaxed LiAcYCu crystal from Alexandria. Energies are from PBE.

Calculated values
The formation energy is 42 meV/atom. For the density, the calculation gives 6.1 g/cm3. The value obtained for the total energy is -16.4 eV per formula unit.

Unit cell a=5.302 b=5.302 c=5.302 alpha=60.00 beta=60.00 gamma=60.00
Positions (direct):
Y: 0.750 0.750 0.750
Li: 0.000 0.000 0.000
Cu: 0.500 0.500 0.500
Ac: 0.250 0.250 0.250



What did the first record say?
Here is a relaxed LaTmFe crystal from Alexandria. Energies are from PBE.

Calculated values
The formation energy is 30 meV/atom. For the density, the calculation gives 7.7 g/cm3. The value obtained for the total energy is -17.8 eV per formula unit. For the offset from the most stable computed form, the calculation gives 0 meV per atom.

Unit cell a=7.026 b=7.062 c=7.247 alpha=90.00 beta=90.00 gamma=119.84
Last column: magnetic moment on the atom in μB.
Positions (direct):
Fe: 0.590 0.180 0.541  1.25
Fe: 0.090 0.180 0.959  1.25
La: 0.698 0.397 0.883  -0.09
Fe: 0.910 0.820 0.041  1.25
Tm: 0.212 0.924 0.750  -0.23
La: 0.302 0.603 0.117  -0.09
Tm: 0.788 0.076 0.250  -0.23
La: 0.198 0.397 0.617  -0.09
Fe: 0.410 0.820 0.459  1.25
Tm: 0.288 0.076 0.250  -0.23
Tm: 0.712 0.924 0.750  -0.23
La: 0.802 0.603 0.383  -0.09